1.
The following is a PBE-GGA calculation of crystalline KMgSbF6 at its relaxed geometry, from the Alexandria database.

Summary:
formation energy (no corrections): -274.8 kJ per mole of atoms
theoretical density: 3.27 g cm⁻³
M_tot: 0.00 Bohr magnetons per cell
D(E_F): 0.00 states/eV/f.u.
symmetry: No. 143

```
KMgSbF6
1.0
5.720 0.000 0.000
-2.860 4.954 0.000
0.000 0.000 5.367
K Mg Sb F
1 1 1 6
Direct
0.000 0.000 0.000
0.333 0.667 0.542
0.667 0.333 0.487
0.057 0.702 0.349
0.298 0.355 0.349
0.424 0.015 0.740
0.591 0.576 0.740
0.645 0.943 0.349
0.985 0.409 0.740
```



2.
The following is a PBE-GGA calculation of crystalline Pm5Y2Er5 at its relaxed geometry, from the Alexandria database.

Summary:
theoretical density: 7.43 g cm⁻³
M_tot: 0.00 Bohr magnetons per cell
E_form: 0.02 eV per atom
D(E_F): 16.45 states/eV/f.u.
symmetry: No. 12

```
Pm5Y2Er5
1.0
9.299 -1.790 0.000
9.299 1.790 0.000
-2.089 0.000 11.674
Pm Y Er
5 2 5
Direct
0.000 0.000 0.000
0.084 0.084 0.751
0.167 0.167 0.502
0.833 0.833 0.498
0.916 0.916 0.249
0.415 0.415 0.751
0.585 0.585 0.249
0.250 0.250 0.248
0.332 0.332 0.000
0.500 0.500 0.500
0.668 0.668 0.000
0.750 0.750 0.752
```



3.
The following is a PBE-GGA calculation of crystalline LiPuZnIn at its relaxed geometry, from the Alexandria database.

Summary:
theoretical density: 8.76 g cm⁻³
M_tot: 5.82 Bohr magnetons per cell
E_form: -0.12 eV per atom
D(E_F): 9.47 states/eV/f.u.
symmetry: No. 216

```
LiPuZnIn
1.0
0.000 3.444 3.444
3.444 0.000 3.444
3.444 3.444 0.000
Li Pu Zn In
1 1 1 1
Direct
0.000 0.000 0.000
0.750 0.750 0.750
0.500 0.500 0.500
0.250 0.250 0.250
```



Which of these has the lowest theoretical density?
KMgSbF6